Record 1
CeDy2Ru | PBE | optimized geometry

Properties
The space group is R-3m, No. 166. The value obtained for the energy above the most stable polymorph in this dataset is 0.433 eV per atom. For the raw total energy, the calculation gives -23.957 eV/f.u. The value obtained for the calculated density is 8.93 g cm⁻³. The formation energy is 2.63 kcal/mol of atoms. Its crystal system is trigonal.

a = 3.378 Å, b = 3.378 Å, c = 31.949 Å
α = 90.00°, β = 90.00°, γ = 120.00°
Fractional positions:
Ce  0.000  0.000  0.000
Ce  0.333  0.667  0.667
Ce  0.667  0.333  0.333
Dy  0.000  0.000  0.104
Dy  0.000  0.000  0.896
Dy  0.333  0.667  0.562
Dy  0.333  0.667  0.771
Dy  0.667  0.333  0.229
Dy  0.667  0.333  0.438
Ru  0.000  0.000  0.500
Ru  0.333  0.667  0.167
Ru  0.667  0.333  0.833

=====

Record 2
CeDy3Ru3 | PBE | optimized geometry

Properties
The space group is R3m, No. 160. The value obtained for the energy above the most stable polymorph in this dataset is 0.000 eV per atom. For the raw total energy, the calculation gives -50.384 eV/f.u. The value obtained for the calculated density is 10.01 g cm⁻³. The formation energy is -9.28 kcal/mol of atoms. Its crystal system is trigonal.

a = 5.809 Å, b = 5.809 Å, c = 5.809 Å
α = 108.83°, β = 108.83°, γ = 108.83°
Fractional positions:
Ce  0.000  0.000  0.000
Dy  0.187  0.596  0.596
Dy  0.596  0.187  0.596
Dy  0.596  0.596  0.187
Ru  0.096  0.096  0.622
Ru  0.096  0.622  0.096
Ru  0.622  0.096  0.096

=====

Record 3
Ce2Dy3Ru2 | PBE | optimized geometry

Properties
The space group is C2/m, No. 12. For the raw total energy, the calculation gives -46.430 eV/f.u. The value obtained for the calculated density is 8.79 g cm⁻³. The formation energy is -7.26 kcal/mol of atoms. Its crystal system is monoclinic.

a = 11.830 Å, b = 3.770 Å, c = 8.916 Å
α = 90.00°, β = 112.90°, γ = 90.00°
Fractional positions:
Ce  0.170  0.000  0.311
Ce  0.330  0.500  0.689
Ce  0.670  0.500  0.311
Ce  0.830  0.000  0.689
Dy  0.000  0.500  0.500
Dy  0.117  0.500  0.919
Dy  0.383  0.000  0.081
Dy  0.500  0.000  0.500
Dy  0.617  0.000  0.919
Dy  0.883  0.500  0.081
Ru  0.197  0.000  0.734
Ru  0.303  0.500  0.266
Ru  0.697  0.500  0.734
Ru  0.803  0.000  0.266